# 1
# Ce2TeAs

A geometry-optimized Ce2TeAs structure (PBE-GGA, the Alexandria database).

a = 4.2910 Å, b = 4.2910 Å, c = 14.8765 Å
α = 90.00°, β = 90.00°, γ = 120.00°
Last column: nearest neighbours and their distance in Å.
Space group P6_3/mmc (No. 194)
Unique sites:
Ce 0.3333 0.6667 0.1094 (multiplicity 4)  3 As 2.96, 3 Te 3.24
Te 0.3333 0.6667 0.7500 (multiplicity 2)  6 Ce 3.24
As 0.0000 0.0000 0.0000 (multiplicity 2)  6 Ce 2.96

## Properties
The value obtained for the calculated density is 6.8 Mg/m³.

=====

# 2
# Ce5Te4As

A geometry-optimized Ce5Te4As structure (PBE-GGA, the Alexandria database).

a = 9.9218 Å, b = 9.9218 Å, c = 6.2877 Å
α = 90.00°, β = 90.00°, γ = 90.00°
Last column: nearest neighbours and their distance in Å.
Space group I4/m (No. 87)
Unique sites:
Ce 0.0000 0.0000 0.0000 (multiplicity 2)  2 As 3.14, 4 Te 3.16
Ce 0.0984 0.7166 0.5000 (multiplicity 8)  1 As 2.98, 5 Te 3.15-3.23
Te 0.0935 0.6961 0.0000 (multiplicity 8)  6 Ce 3.15-3.23
As 0.0000 0.0000 0.5000 (multiplicity 2)  6 Ce 2.98-3.14

## Properties
The value obtained for the calculated density is 6.9 Mg/m³.

=====

Number 1: formation energy (no corrections) -1394.0 meV/atom. Number 2: formation energy (no corrections) -1377.3 meV/atom.